# 1
# RbFeAs3, relaxed, DFT PBE-GGA
# DOS(E_F)   11.18 states/eV/f.u.
# Total moment   3.69 μB/f.u.
# E_tot   -2.4906 eV/atom
# Energy relative to the lowest polymorph listed for this composition   43.97 kcal/mol of atoms
data_RbFeAs3
_chemical_formula_sum 'Rb1 Fe1 As3'
_cell_length_a 5.5059
_cell_length_b 5.5059
_cell_length_c 5.5059
_cell_angle_alpha 90.00
_cell_angle_beta 90.00
_cell_angle_gamma 90.00
_space_group_name_H-M_alt 'P m -3 m'
_space_group_IT_number 221
_space_group_name_Hall '-P 4 2 3'
loop_
_atom_site_label
_atom_site_type_symbol
_atom_site_fract_x
_atom_site_fract_y
_atom_site_fract_z
_atom_site_occupancy
Rb1 Rb 0.0000 0.0000 0.0000 1
Fe1 Fe 0.5000 0.5000 0.5000 1
As1 As 0.0000 0.0000 0.5000 1

---

# 2
# RbFe2As2, relaxed, DFT PBE-GGA
# DOS(E_F)   4.10 states/eV/f.u.
# Total moment   1.44 μB/f.u.
# E_tot   -5.7161 eV/atom
data_RbFe2As2
_chemical_formula_sum 'Rb2 Fe4 As4'
_cell_length_a 3.7598
_cell_length_b 3.7598
_cell_length_c 14.7998
_cell_angle_alpha 90.00
_cell_angle_beta 90.00
_cell_angle_gamma 90.00
_space_group_name_H-M_alt 'I 4/m m m'
_space_group_IT_number 139
_space_group_name_Hall '-I 4 2'
loop_
_atom_site_label
_atom_site_type_symbol
_atom_site_fract_x
_atom_site_fract_y
_atom_site_fract_z
_atom_site_occupancy
Rb1 Rb 0.0000 0.0000 0.0000 1
Fe1 Fe 0.0000 0.5000 0.2500 1
As1 As 0.0000 0.0000 0.3441 1

---

# 3
# RbFeAs2, relaxed, DFT PBE-GGA
# DOS(E_F)   1.18 states/eV/f.u.
# Total moment   1.00 μB/f.u.
# E_tot   -4.7884 eV/atom
# Energy relative to the lowest polymorph listed for this composition   0.24 kcal/mol of atoms
data_RbFeAs2
_chemical_formula_sum 'Rb4 Fe4 As8'
_cell_length_a 5.8946
_cell_length_b 5.8946
_cell_length_c 13.2842
_cell_angle_alpha 90.00
_cell_angle_beta 90.00
_cell_angle_gamma 90.00
_space_group_name_H-M_alt 'I 41/a m d'
_space_group_IT_number 141
loop_
_space_group_symop_operation_xyz
'x,y,z'
'-x,-y,-z'
'-y+1/4,x+3/4,z+1/4'
'y+1/4,-x+3/4,-z+1/4'
'-x+1/2,-y,z+1/2'
'x+1/2,y,-z+1/2'
'y+1/4,-x+1/4,z+3/4'
'-y+1/4,x+1/4,-z+3/4'
'x,-y,-z'
'-x,y,z'
'-y+1/4,-x+1/4,-z+3/4'
'y+1/4,x+1/4,z+3/4'
'-x+1/2,y,-z+1/2'
'x+1/2,-y,z+1/2'
'y+1/4,x+3/4,-z+1/4'
'-y+1/4,-x+3/4,z+1/4'
'x+1/2,y+1/2,z+1/2'
'-x+1/2,-y+1/2,-z+1/2'
'-y+3/4,x+1/4,z+3/4'
'y+3/4,-x+1/4,-z+3/4'
'-x,-y+1/2,z'
'x,y+1/2,-z'
'y+3/4,-x+3/4,z+1/4'
'-y+3/4,x+3/4,-z+1/4'
'x+1/2,-y+1/2,-z+1/2'
'-x+1/2,y+1/2,z+1/2'
'-y+3/4,-x+3/4,-z+1/4'
'y+3/4,x+3/4,z+1/4'
'-x,y+1/2,-z'
'x,-y+1/2,z'
'y+3/4,x+1/4,-z+3/4'
'-y+3/4,-x+1/4,z+3/4'
loop_
_atom_site_label
_atom_site_type_symbol
_atom_site_fract_x
_atom_site_fract_y
_atom_site_fract_z
_atom_site_occupancy
Rb1 Rb 0.0000 0.2500 0.3750 1
Fe1 Fe 0.0000 0.2500 0.8750 1
As1 As 0.0000 0.0000 0.0000 1

---

# 4
# RbFeAs3, relaxed, DFT PBE-GGA
# DOS(E_F)   8.88 states/eV/f.u.
# Total moment   0.00 μB/f.u.
# E_tot   -4.3972 eV/atom
# Energy relative to the lowest polymorph listed for this composition   0.00 kcal/mol of atoms
data_RbFeAs3
_chemical_formula_sum 'Rb1 Fe1 As3'
_cell_length_a 4.8079
_cell_length_b 4.8079
_cell_length_c 4.8079
_cell_angle_alpha 90.00
_cell_angle_beta 90.00
_cell_angle_gamma 90.00
_space_group_name_H-M_alt 'P m -3 m'
_space_group_IT_number 221
_space_group_name_Hall '-P 4 2 3'
loop_
_atom_site_label
_atom_site_type_symbol
_atom_site_fract_x
_atom_site_fract_y
_atom_site_fract_z
_atom_site_occupancy
Rb1 Rb 0.0000 0.0000 0.0000 1
Fe1 Fe 0.5000 0.5000 0.5000 1
As1 As 0.0000 0.5000 0.5000 1

---

# 5
# RbFe3As, relaxed, DFT PBE-GGA
# DOS(E_F)   4.74 states/eV/f.u.
# Total moment   8.21 μB/f.u.
# E_tot   -3.6780 eV/atom
# Energy relative to the lowest polymorph listed for this composition   38.58 kcal/mol of atoms
data_RbFe3As
_chemical_formula_sum 'Rb1 Fe3 As1'
_cell_length_a 4.6881
_cell_length_b 4.6881
_cell_length_c 4.6881
_cell_angle_alpha 90.00
_cell_angle_beta 90.00
_cell_angle_gamma 90.00
_space_group_name_H-M_alt 'P m -3 m'
_space_group_IT_number 221
_space_group_name_Hall '-P 4 2 3'
loop_
_atom_site_label
_atom_site_type_symbol
_atom_site_fract_x
_atom_site_fract_y
_atom_site_fract_z
_atom_site_occupancy
Rb1 Rb 0.0000 0.0000 0.0000 1
Fe1 Fe 0.0000 0.0000 0.5000 1
As1 As 0.5000 0.5000 0.5000 1

---

# 6
# RbFeAs2, relaxed, DFT PBE-GGA
# DOS(E_F)   3.83 states/eV/f.u.
# Total moment   1.73 μB/f.u.
# E_tot   -4.7986 eV/atom
# Energy relative to the lowest polymorph listed for this composition   0.00 kcal/mol of atoms
data_RbFeAs2
_chemical_formula_sum 'Rb3 Fe3 As6'
_cell_length_a 3.9058
_cell_length_b 3.9058
_cell_length_c 21.3840
_cell_angle_alpha 90.00
_cell_angle_beta 90.00
_cell_angle_gamma 120.00
_space_group_name_H-M_alt 'R -3 m'
_space_group_IT_number 166
_space_group_name_Hall '-R 3 2"'
loop_
_atom_site_label
_atom_site_type_symbol
_atom_site_fract_x
_atom_site_fract_y
_atom_site_fract_z
_atom_site_occupancy
Rb1 Rb 0.0000 0.0000 0.0000 1
Fe1 Fe 0.0000 0.0000 0.5000 1
As1 As 0.0000 0.0000 0.2112 1

---

# 7
# RbFeAs2, relaxed, DFT PBE-GGA
# DOS(E_F)   7.32 states/eV/f.u.
# Total moment   2.98 μB/f.u.
# E_tot   -3.9977 eV/atom
# Energy relative to the lowest polymorph listed for this composition   18.47 kcal/mol of atoms
data_RbFeAs2
_chemical_formula_sum 'Rb4 Fe4 As8'
_cell_length_a 7.0772
_cell_length_b 7.0772
_cell_length_c 7.0772
_cell_angle_alpha 90.00
_cell_angle_beta 90.00
_cell_angle_gamma 90.00
_space_group_name_H-M_alt 'F m -3 m'
_space_group_IT_number 225
_space_group_name_Hall '-F 4 2 3'
loop_
_atom_site_label
_atom_site_type_symbol
_atom_site_fract_x
_atom_site_fract_y
_atom_site_fract_z
_atom_site_occupancy
Rb1 Rb 0.0000 0.0000 0.0000 1
Fe1 Fe 0.0000 0.0000 0.5000 1
As1 As 0.2500 0.2500 0.2500 1

---

# 8
# Rb2FeAs2, relaxed, DFT PBE-GGA
# DOS(E_F)   0.03 states/eV/f.u.
# Total moment   0.00 μB/f.u.
# E_tot   -3.8993 eV/atom
data_Rb2FeAs2
_chemical_formula_sum 'Rb4 Fe2 As4'
_cell_length_a 6.3752
_cell_length_b 6.3752
_cell_length_c 5.8993
_cell_angle_alpha 90.00
_cell_angle_beta 90.00
_cell_angle_gamma 90.00
_space_group_name_H-M_alt 'P 4/m b m'
_space_group_IT_number 127
_space_group_name_Hall '-P 4 2ab'
loop_
_atom_site_label
_atom_site_type_symbol
_atom_site_fract_x
_atom_site_fract_y
_atom_site_fract_z
_atom_site_occupancy
Rb1 Rb 0.1770 0.3230 0.0000 1
Fe1 Fe 0.0000 0.0000 0.5000 1
As1 As 0.1483 0.6483 0.5000 1